{
  "formula": "Rh2WAuO",
  "functional": "GGA+U",
  "state": "optimized geometry",
  "lattice": [[-3.906, 1.431, 0.150], [-1.415, -3.621, -2.308], [-0.611, -2.041, 3.576]],
  "species": ["Au", "Rh", "Rh", "O", "W"],
  "frac_coords": [[0.000, 0.500, 0.000], [0.500, 0.000, 0.000], [0.000, 0.000, 0.500], [0.000, 0.000, 0.000], [0.500, 0.500, 0.500]],
  "total_energy_ha_per_atom": -0.199,
  "vol_a3_per_cell": 78.3,
  "magnetic_moment_mub_per_atom": 0.734,
  "space_group": "P4/mmm (123)"
}